Here is Ba3Mn2CdO6 after structural relaxation from the Alexandria database. Energies are from PBE+U.

- final energy (Ha/atom) = -0.22112
- space-group type = P-3m1 (164)

Cell lengths 6.2335, 6.2335, 6.8920 Å; angles 90.00, 90.00, 120.00 degrees
Element x y z (fractional)
O  0.8297  0.1703  0.7062
O  0.1703  0.8297  0.2938
O  0.6595  0.8297  0.2938
O  0.1703  0.3405  0.2938
O  0.3405  0.1703  0.7062
O  0.8297  0.6595  0.7062
Mn  0.3333  0.6667  0.1744
Mn  0.6667  0.3333  0.8256
Ba  0.6667  0.3333  0.3726
Ba  0.0000  0.0000  0.0000
Ba  0.3333  0.6667  0.6274
Cd  0.0000  0.0000  0.5000